A relaxed Nb3TcB crystal, computed with PBE.

* uncorrected energy: -46.25 eV for the cell shown
* formation enthalpy at 0 K: 0.20 eV/atom
* ΔE to the lowest computed polymorph: 0.000 eV per formula unit

Cell: 4.342 4.342 4.342 Å, 90.00 90.00 90.00°
Sites, in units of the cell vectors:
B: 0.000 0.000 0.000
Tc: 0.500 0.500 0.500
Nb: 0.000 0.000 0.500
Nb: 0.500 0.000 0.000
Nb: 0.000 0.500 0.000

---

A relaxed ReMo3 crystal, computed with PBE.

* uncorrected energy: -44.72 eV for the cell shown
* formation enthalpy at 0 K: 0.05 eV/atom

Cell: 2.725 8.934 2.725 Å, 90.00 109.42 90.00°
Sites, in units of the cell vectors:
Re: 0.500 0.250 0.500
Mo: 0.000 0.001 0.000
Mo: 0.000 0.499 0.000
Mo: 0.500 0.750 0.500

---

A relaxed Pu2MnSi4Ni3 crystal, computed with PBE.

* uncorrected energy: -82.79 eV for the cell shown
* raw formation energy: -0.59 eV/atom

Cell: 3.980 3.980 9.552 Å, 90.00 90.00 90.00°
Each line ends with the local moment (μB).
Sites, in units of the cell vectors:
Si: 0.000 0.500 0.366  0.01
Si: 0.000 0.000 0.000  -0.03
Si: 0.500 0.500 0.000  -0.03
Si: 0.500 0.000 0.634  0.01
Ni: 0.500 0.000 0.877  0.00
Ni: 0.000 0.000 0.500  0.17
Ni: 0.000 0.500 0.123  0.00
Pu: 0.000 0.500 0.751  4.97
Pu: 0.500 0.000 0.249  4.97
Mn: 0.500 0.500 0.500  -1.62

---

A relaxed Sr3Cu3P4O16 crystal, computed with PBE.

* uncorrected energy: -350.67 eV for the cell shown
* raw formation energy: -2.19 eV/atom

Cell: 5.016 9.349 15.209 Å, 92.91 90.00 90.00°
Each line ends with the local moment (μB).
Sites, in units of the cell vectors:
Sr: 0.967 0.958 0.764  0.00
Sr: 0.033 0.042 0.236  0.00
Sr: 0.533 0.458 0.264  0.00
Sr: 0.467 0.542 0.736  0.00
Sr: 0.500 0.500 0.000  0.00
Sr: 0.000 0.000 0.500  0.00
Cu: 0.000 0.000 0.000  0.60
Cu: 0.500 0.500 0.500  0.60
Cu: 0.537 0.828 0.120  0.63
Cu: 0.963 0.328 0.620  0.63
Cu: 0.463 0.172 0.880  0.63
Cu: 0.037 0.672 0.380  0.63
O: 0.357 0.986 0.389  0.03
O: 0.820 0.881 0.357  0.03
O: 0.079 0.216 0.850  0.08
O: 0.064 0.735 0.505  0.06
O: 0.421 0.716 0.350  0.08
O: 0.579 0.284 0.650  0.08
O: 0.587 0.764 0.828  0.03
O: 0.320 0.619 0.143  0.03
O: 0.921 0.784 0.150  0.08
O: 0.309 0.009 0.081  0.11
O: 0.857 0.514 0.111  0.03
O: 0.521 0.087 0.763  0.09
O: 0.936 0.265 0.495  0.06
O: 0.786 0.099 0.093  0.07
O: 0.913 0.264 0.328  0.03
O: 0.479 0.913 0.237  0.09
O: 0.691 0.991 0.919  0.11
O: 0.286 0.401 0.407  0.07
O: 0.809 0.491 0.419  0.11
O: 0.680 0.381 0.857  0.03
O: 0.087 0.736 0.672  0.03
O: 0.413 0.236 0.172  0.03
O: 0.643 0.014 0.611  0.03
O: 0.979 0.587 0.263  0.09
O: 0.714 0.599 0.593  0.07
O: 0.143 0.486 0.889  0.03
O: 0.191 0.509 0.581  0.11
O: 0.214 0.901 0.907  0.07
O: 0.021 0.413 0.737  0.09
O: 0.436 0.235 0.005  0.06
O: 0.564 0.765 0.995  0.06
O: 0.180 0.119 0.643  0.03
P: 0.989 0.351 0.412  0.00
P: 0.511 0.851 0.912  0.00
P: 0.983 0.372 0.836  0.00
P: 0.017 0.628 0.164  0.00
P: 0.011 0.649 0.588  0.00
P: 0.489 0.149 0.088  0.00
P: 0.517 0.872 0.336  0.00
P: 0.483 0.128 0.664  0.00

---

A relaxed Er3In2Sn crystal, computed with PBE.

* uncorrected energy: -52.00 eV for the cell shown
* formation enthalpy at 0 K: -0.47 eV/atom
* ΔE to the lowest computed polymorph: 0.044 eV per formula unit

Cell: 3.705 5.311 15.966 Å, 90.00 90.00 90.00°
Sites, in units of the cell vectors:
Er: 0.500 0.500 0.337
Er: 0.501 0.500 0.000
Er: 0.500 0.000 0.163
Er: 0.499 0.000 0.500
Er: 0.500 0.000 0.837
Er: 0.500 0.500 0.663
In: 0.000 0.500 0.829
In: 0.000 0.000 0.329
In: 0.000 0.000 0.671
In: 0.000 0.500 0.171
Sn: 0.001 0.000 0.000
Sn: 0.999 0.500 0.500

---

A relaxed ZrTaCl3 crystal, computed with PBE.

* uncorrected energy: -24.62 eV for the cell shown
* raw formation energy: 0.26 eV/atom
* ΔE to the lowest computed polymorph: 0.000 eV per formula unit

Cell: 5.063 5.063 5.063 Å, 90.00 90.00 90.00°
Each line ends with the local moment (μB).
Sites, in units of the cell vectors:
Cl: 0.500 0.000 0.000  0.03
Cl: 0.000 0.500 0.000  0.05
Cl: 0.000 0.000 0.500  0.04
Zr: 0.000 0.000 0.000  -0.02
Ta: 0.500 0.500 0.500  2.56

---

A relaxed HSeBr2Cl crystal, computed with PBE.

* uncorrected energy: -8.87 eV for the cell shown
* ΔE to the lowest computed polymorph: 0.000 eV per formula unit

Cell: 5.362 5.362 3.540 Å, 90.00 90.00 90.00°
Each line ends with the local moment (μB).
Sites, in units of the cell vectors:
H: 0.000 0.000 0.000  0.00
Br: 0.500 0.000 0.000  0.08
Br: 0.000 0.500 0.000  0.08
Cl: 0.500 0.500 0.500  0.18
Se: 0.000 0.000 0.500  -0.01

---

A relaxed Ca8Hg2Pt crystal, computed with PBE.

* uncorrected energy: -27.15 eV for the cell shown
* formation enthalpy at 0 K: -0.41 eV/atom
* ΔE to the lowest computed polymorph: 0.000 eV per formula unit

Cell: 5.352 7.187 9.794 Å, 106.65 105.86 90.00°
Sites, in units of the cell vectors:
Ca: 0.973 0.202 0.946
Ca: 0.347 0.038 0.693
Ca: 0.591 0.422 0.182
Ca: 0.027 0.798 0.054
Ca: 0.653 0.962 0.307
Ca: 0.409 0.578 0.818
Ca: 0.210 0.307 0.419
Ca: 0.790 0.693 0.581
Hg: 0.184 0.720 0.369
Hg: 0.816 0.280 0.631
Pt: 0.500 0.000 0.000

---

A relaxed ScTlV2P crystal, computed with PBE.

* uncorrected energy: -26.50 eV for the cell shown
* formation enthalpy at 0 K: 1.17 eV/atom

Cell: 4.933 4.792 4.933 Å, 90.00 90.00 90.00°
Each line ends with the local moment (μB).
Sites, in units of the cell vectors:
V: 0.000 0.000 0.500  2.00
V: 0.500 0.000 0.000  2.48
P: 0.000 0.500 0.000  -0.11
Sc: 0.000 0.000 0.000  0.11
Tl: 0.500 0.500 0.500  -0.01

---

A relaxed As2Se4I3 crystal, computed with PBE.

* uncorrected energy: -55.57 eV for the cell shown
* raw formation energy: 0.01 eV/atom

Cell: 9.081 8.758 8.758 Å, 83.71 94.06 94.06°
Sites, in units of the cell vectors:
Se: 0.039 0.676 0.081
Se: 0.961 0.324 0.919
Se: 0.569 0.361 0.286
Se: 0.461 0.919 0.324
Se: 0.431 0.639 0.714
Se: 0.931 0.714 0.639
Se: 0.069 0.286 0.361
Se: 0.539 0.081 0.676
As: 0.410 0.154 0.426
As: 0.590 0.846 0.574
As: 0.910 0.426 0.154
As: 0.090 0.574 0.846
I: 0.106 0.951 0.731
I: 0.394 0.269 0.049
I: 0.894 0.049 0.269
I: 0.250 0.555 0.445
I: 0.606 0.731 0.951
I: 0.750 0.445 0.555